P) DFT (PBE) results for an optimized crystal structure of Cr7Mo.

Cell lengths 5.7991, 5.7991, 5.7991 Å; angles 89.86, 89.86, 89.86 degrees
Atoms (fractional coordinates):
Cr (0.1217, 0.1217, 0.1217)
Cr (0.1219, 0.1219, 0.6284)
Cr (0.1219, 0.6284, 0.1219)
Cr (0.1234, 0.6282, 0.6282)
Cr (0.3718, 0.3718, 0.8766)
Cr (0.3718, 0.8766, 0.3718)
Cr (0.3716, 0.8781, 0.8781)
Cr (0.6284, 0.1219, 0.1219)
Cr (0.6282, 0.1234, 0.6282)
Cr (0.6282, 0.6282, 0.1234)
Cr (0.8766, 0.3718, 0.3718)
Cr (0.8781, 0.3716, 0.8781)
Cr (0.8781, 0.8781, 0.3716)
Cr (0.8783, 0.8783, 0.8783)
Mo (0.3712, 0.3712, 0.3712)
Mo (0.6288, 0.6288, 0.6288)

***

Q) DFT (PBE) results for an optimized crystal structure of Cr7Mo.

Cell lengths 5.2089, 5.2089, 5.2089 Å; angles 60.00, 60.00, 60.00 degrees
Atoms (fractional coordinates):
Cr (0.0000, 0.0000, 0.0000)
Cr (0.0000, 0.0000, 0.5000)
Cr (0.0000, 0.5000, 0.0000)
Cr (0.0000, 0.5000, 0.5000)
Cr (0.5000, 0.0000, 0.0000)
Cr (0.5000, 0.0000, 0.5000)
Cr (0.5000, 0.5000, 0.0000)
Mo (0.5000, 0.5000, 0.5000)

***

The most stable arrangement is P), and the next structure is 385 meV/atom less stable.

***

P) DFT (PBE) results for an optimized crystal structure of CrMo8.

Cell lengths 6.8284, 6.8284, 6.8284 Å; angles 93.04, 93.04, 153.36 degrees
Atoms (fractional coordinates):
Cr (0.0000, 0.0000, 0.0000)
Mo (0.0000, 0.3312, 0.3312)
Mo (0.0000, 0.6688, 0.6688)
Mo (0.3312, 0.0000, 0.3312)
Mo (0.3362, 0.3362, 0.6724)
Mo (0.3362, 0.6638, 0.0000)
Mo (0.6638, 0.3362, 0.0000)
Mo (0.6638, 0.6638, 0.3276)
Mo (0.6688, 0.0000, 0.6688)

***

Q) DFT (PBE) results for an optimized crystal structure of CrMo8.

Cell lengths 6.0099, 6.0099, 6.0099 Å; angles 98.43, 98.43, 134.98 degrees
Atoms (fractional coordinates):
Cr (0.0000, 0.0000, 0.0000)
Mo (0.0000, 0.3259, 0.3259)
Mo (0.0000, 0.6741, 0.6741)
Mo (0.3259, 0.0000, 0.3259)
Mo (0.3361, 0.3361, 0.6722)
Mo (0.3361, 0.6639, 0.0000)
Mo (0.6639, 0.3361, 0.0000)
Mo (0.6639, 0.6639, 0.3278)
Mo (0.6741, 0.0000, 0.6741)

***

The most stable arrangement is P), and the next structure is 306 meV/atom less stable.

***

P) DFT (PBE) results for an optimized crystal structure of Cr5Mo3.

Cell lengths 5.9972, 5.9952, 5.9952 Å; angles 89.96, 90.00, 90.00 degrees
Atoms (fractional coordinates):
Cr (0.0000, 0.0000, 0.0000)
Cr (0.0000, 0.0016, 0.5107)
Cr (0.0000, 0.5107, 0.0016)
Cr (0.2452, 0.2542, 0.7548)
Cr (0.2452, 0.7548, 0.2542)
Cr (0.2445, 0.7554, 0.7554)
Cr (0.5000, 0.5073, 0.5073)
Cr (0.7548, 0.2542, 0.7548)
Cr (0.7548, 0.7548, 0.2542)
Cr (0.7555, 0.7554, 0.7554)
Mo (0.0000, 0.5109, 0.5109)
Mo (0.2458, 0.2545, 0.2545)
Mo (0.5000, 0.0000, 0.0000)
Mo (0.5000, 0.5086, 0.9981)
Mo (0.5000, 0.9981, 0.5086)
Mo (0.7542, 0.2545, 0.2545)

***

Q) DFT (PBE) results for an optimized crystal structure of Cr5Mo3.

Cell lengths 2.6190, 2.6190, 16.4963 Å; angles 90.00, 90.00, 109.49 degrees
Atoms (fractional coordinates):
Cr (0.0000, 0.0000, 0.0000)
Cr (0.0000, 0.0000, 0.2300)
Cr (0.0000, 0.0000, 0.7700)
Cr (0.5000, 0.5000, 0.1154)
Cr (0.5000, 0.5000, 0.8846)
Mo (0.0000, 0.0000, 0.5000)
Mo (0.5000, 0.5000, 0.3586)
Mo (0.5000, 0.5000, 0.6414)

***

R) DFT (PBE) results for an optimized crystal structure of Cr5Mo3.

Cell lengths 7.2266, 7.2266, 4.9153 Å; angles 90.00, 90.00, 120.00 degrees
Atoms (fractional coordinates):
Cr (0.0000, 0.2184, 0.2500)
Cr (0.0000, 0.7816, 0.7500)
Cr (0.2184, 0.0000, 0.2500)
Cr (0.2184, 0.2184, 0.7500)
Cr (0.3333, 0.6667, 0.0000)
Cr (0.3333, 0.6667, 0.5000)
Cr (0.6667, 0.3333, 0.0000)
Cr (0.6667, 0.3333, 0.5000)
Cr (0.7816, 0.0000, 0.7500)
Cr (0.7816, 0.7816, 0.2500)
Mo (0.0000, 0.3919, 0.7500)
Mo (0.0000, 0.6081, 0.2500)
Mo (0.3919, 0.0000, 0.7500)
Mo (0.3919, 0.3919, 0.2500)
Mo (0.6081, 0.0000, 0.2500)
Mo (0.6081, 0.6081, 0.7500)

***

S) DFT (PBE) results for an optimized crystal structure of Cr5Mo3.

Cell lengths 5.1731, 5.1731, 4.2261 Å; angles 90.00, 90.00, 109.33 degrees
Atoms (fractional coordinates):
Cr (0.0000, 0.0000, 0.0000)
Cr (0.0000, 0.5000, 0.0000)
Cr (0.2466, 0.2466, 0.5000)
Cr (0.5000, 0.0000, 0.0000)
Cr (0.7534, 0.7534, 0.5000)
Mo (0.2465, 0.7535, 0.5000)
Mo (0.5000, 0.5000, 0.0000)
Mo (0.7535, 0.2465, 0.5000)

***

The most stable arrangement is S), and the next structure is 13 meV/atom less stable.

***

P) DFT (PBE) results for an optimized crystal structure of CrMo4.

Cell lengths 8.0827, 8.0827, 4.6209 Å; angles 101.60, 101.60, 139.98 degrees
Atoms (fractional coordinates):
Cr (0.1965, 0.8035, 0.7500)
Cr (0.8035, 0.1965, 0.2500)
Mo (0.1379, 0.4832, 0.8964)
Mo (0.2142, 0.3086, 0.3198)
Mo (0.3086, 0.2142, 0.8198)
Mo (0.4832, 0.1379, 0.3964)
Mo (0.5168, 0.8621, 0.6036)
Mo (0.6914, 0.7858, 0.1802)
Mo (0.7858, 0.6914, 0.6802)
Mo (0.8621, 0.5168, 0.1036)

***

Q) DFT (PBE) results for an optimized crystal structure of CrMo4.

Cell lengths 5.1594, 5.1594, 5.1594 Å; angles 95.24, 95.24, 144.81 degrees
Atoms (fractional coordinates):
Cr (0.0000, 0.0000, 0.0000)
Mo (0.2040, 0.4003, 0.6043)
Mo (0.4003, 0.7960, 0.1964)
Mo (0.5997, 0.2040, 0.8036)
Mo (0.7960, 0.5997, 0.3957)

***

The most stable arrangement is Q), and the next structure is 355 meV/atom less stable.

***

P) DFT (PBE) results for an optimized crystal structure of CrMoS2N.

Cell lengths 4.6734, 4.6734, 3.5084 Å; angles 90.00, 90.00, 90.00 degrees
Atoms (fractional coordinates):
Cr (0.0000, 0.0000, 0.0000)
Mo (0.5000, 0.5000, 0.5000)
S (0.0000, 0.5000, 0.0000)
S (0.5000, 0.0000, 0.0000)
N (0.0000, 0.0000, 0.5000)

***

Q) DFT (PBE) results for an optimized crystal structure of CrMoS2N.

Cell lengths 4.8013, 4.8013, 3.7544 Å; angles 90.00, 90.00, 90.00 degrees
Atoms (fractional coordinates):
Cr (0.0000, 0.0000, 0.0000)
Mo (0.5000, 0.5000, 0.5000)
S (0.0000, 0.5000, 0.5000)
S (0.5000, 0.0000, 0.5000)
N (0.5000, 0.5000, 0.0000)

***

The most stable arrangement is P), and the next structure is 262 meV/atom less stable.

***

P) DFT (PBE) results for an optimized crystal structure of CrMoSN2.

Cell lengths 3.8614, 3.8614, 5.0754 Å; angles 90.00, 90.00, 90.00 degrees
Atoms (fractional coordinates):
Cr (0.0000, 0.0000, 0.0000)
Mo (0.5000, 0.5000, 0.5000)
S (0.5000, 0.5000, 0.0000)
N (0.0000, 0.5000, 0.5000)
N (0.5000, 0.0000, 0.5000)

***

Q) DFT (PBE) results for an optimized crystal structure of CrMoSN2.

Cell lengths 3.6803, 3.6803, 4.7768 Å; angles 90.00, 90.00, 90.00 degrees
Atoms (fractional coordinates):
Cr (0.0000, 0.0000, 0.0000)
Mo (0.5000, 0.5000, 0.5000)
S (0.0000, 0.0000, 0.5000)
N (0.0000, 0.5000, 0.0000)
N (0.5000, 0.0000, 0.0000)

***

The most stable arrangement is P), and the next structure is 259 meV/atom less stable.